(1)
A plane-wave DFT calculation with GGA-PBE was carried out for a relaxed TaCrRh2 crystal.

Cell lengths 4.424, 4.424, 4.424 Å; angles 60.00, 60.00, 60.00 degrees
Last column: magnetic moment on the atom in μB.
Positions (direct):
Rh: 0.750 0.750 0.750  0.41
Rh: 0.250 0.250 0.250  0.41
Ta: 0.500 0.500 0.500  0.12
Cr: 0.000 0.000 0.000  3.26

Computed properties:
* density of states at the Fermi level: 2.38 states/eV/cell
* VASP energy: -37.13 eV for the cell shown
* space-group type: Fm-3m, No. 225
* crystal system: cubic
* ΔE_f: -0.2368 eV/atom
* ΔE to the lowest computed polymorph: 9.4 kJ/mol of atoms

(2)
A plane-wave DFT calculation with GGA-PBE was carried out for a relaxed Ta5Cr4Rh crystal.

Cell lengths 3.115, 3.115, 15.609 Å; angles 90.00, 90.00, 90.00 degrees
Positions (direct):
Cr: 0.000 0.000 0.201
Cr: 0.000 0.000 0.799
Cr: 0.000 0.000 0.401
Cr: 0.000 0.000 0.599
Ta: 0.500 0.500 0.698
Ta: 0.500 0.500 0.892
Ta: 0.500 0.500 0.500
Ta: 0.500 0.500 0.108
Ta: 0.500 0.500 0.302
Rh: 0.000 0.000 0.000

Computed properties:
* density of states at the Fermi level: 7.34 states/eV/cell
* VASP energy: -106.50 eV for the cell shown
* space-group type: P4/mmm, No. 123
* crystal system: tetragonal
* ΔE_f: -0.1397 eV/atom